A geometry-optimized SrTe2W structure. Source: Alexandria, functional GGA-PBE.

Structure (CIF):
```
data_SrTe2W
_space_group_name_H-M_alt 'C 1 m 1'
_space_group_IT_number 8
_space_group_name_Hall 'C -2y'
_cell_length_a 9.275
_cell_length_b 3.657
_cell_length_c 7.197
_cell_angle_alpha 90.00
_cell_angle_beta 109.01
_cell_angle_gamma 90.00
loop_
_atom_site_label
_atom_site_fract_x
_atom_site_fract_y
_atom_site_fract_z
Sr1 0.000 0.000 0.000
Te1 0.212 0.000 0.711
Te2 0.391 0.000 0.348
W1 0.200 0.500 0.415
```

Results
ΔE to the lowest computed polymorph	79.9	meV per atom

A geometry-optimized SrTe4W structure. Source: Alexandria, functional GGA-PBE.

Structure (CIF):
```
data_SrTe4W
_space_group_name_H-M_alt 'F -4 3 m'
_space_group_IT_number 216
_space_group_name_Hall 'F -4 2 3'
_cell_length_a 9.081
_cell_length_b 9.081
_cell_length_c 9.081
_cell_angle_alpha 90.00
_cell_angle_beta 90.00
_cell_angle_gamma 90.00
loop_
_atom_site_label
_atom_site_fract_x
_atom_site_fract_y
_atom_site_fract_z
Sr1 0.000 0.000 0.000
Te1 0.124 0.124 0.624
W1 0.250 0.250 0.250
```

A geometry-optimized Sr2TeW structure. Source: Alexandria, functional GGA-PBE.

Structure (CIF):
```
data_Sr2TeW
_space_group_name_H-M_alt 'I m m 2'
_space_group_IT_number 44
_space_group_name_Hall 'I 2 -2'
_cell_length_a 3.610
_cell_length_b 5.661
_cell_length_c 11.853
_cell_angle_alpha 90.00
_cell_angle_beta 90.00
_cell_angle_gamma 90.00
loop_
_atom_site_label
_atom_site_fract_x
_atom_site_fract_y
_atom_site_fract_z
Sr1 0.000 0.000 0.000
Sr2 0.000 0.500 0.194
Te1 0.000 0.500 0.773
W1 0.000 0.000 0.444
```

A geometry-optimized SrTe2W structure. Source: Alexandria, functional GGA-PBE.

Structure (CIF):
```
data_SrTe2W
_space_group_name_H-M_alt 'A m m 2'
_space_group_IT_number 38
_space_group_name_Hall 'A 2 -2'
_cell_length_a 4.932
_cell_length_b 4.428
_cell_length_c 12.021
_cell_angle_alpha 90.00
_cell_angle_beta 90.00
_cell_angle_gamma 90.00
loop_
_atom_site_label
_atom_site_fract_x
_atom_site_fract_y
_atom_site_fract_z
Sr1 0.000 0.000 0.000
Te1 0.000 0.000 0.289
Te2 0.500 0.000 0.585
W1 0.500 0.000 0.207
```

Results
ΔE to the lowest computed polymorph	142.7	meV per atom

A geometry-optimized SrTe2W structure. Source: Alexandria, functional GGA-PBE.

Structure (CIF):
```
data_SrTe2W
_space_group_name_H-M_alt 'F m -3 m'
_space_group_IT_number 225
_space_group_name_Hall '-F 4 2 3'
_cell_length_a 7.244
_cell_length_b 7.244
_cell_length_c 7.244
_cell_angle_alpha 90.00
_cell_angle_beta 90.00
_cell_angle_gamma 90.00
loop_
_atom_site_label
_atom_site_fract_x
_atom_site_fract_y
_atom_site_fract_z
Sr1 0.000 0.000 0.000
Te1 0.250 0.250 0.250
W1 0.000 0.000 0.500
```

Results
ΔE to the lowest computed polymorph	279.7	meV per atom

A geometry-optimized Sr2TeW structure. Source: Alexandria, functional GGA-PBE.

Structure (CIF):
```
data_Sr2TeW
_space_group_name_H-M_alt 'R -3 m'
_space_group_IT_number 166
_space_group_name_Hall '-R 3 2"'
_cell_length_a 4.2628
_cell_length_b 4.2628
_cell_length_c 26.1923
_cell_angle_alpha 90.00
_cell_angle_beta 90.00
_cell_angle_gamma 120.00
loop_
_atom_site_label
_atom_site_fract_x
_atom_site_fract_y
_atom_site_fract_z
Sr1 0.0000 0.0000 0.2471
Te1 0.0000 0.0000 0.5000
W1 0.0000 0.0000 0.0000
```

A geometry-optimized SrTe2W structure. Source: Alexandria, functional GGA-PBE.

Structure (CIF):
```
data_SrTe2W
_space_group_name_H-M_alt 'R -3 m'
_space_group_IT_number 166
_space_group_name_Hall '-R 3 2"'
_cell_length_a 3.7602
_cell_length_b 3.7602
_cell_length_c 30.6966
_cell_angle_alpha 90.00
_cell_angle_beta 90.00
_cell_angle_gamma 120.00
loop_
_atom_site_label
_atom_site_fract_x
_atom_site_fract_y
_atom_site_fract_z
Sr1 0.0000 0.0000 0.0000
Te1 0.0000 0.0000 0.1102
W1 0.0000 0.0000 0.5000
```

Results
ΔE to the lowest computed polymorph	349.0	meV per atom

A geometry-optimized Sr2TeW structure. Source: Alexandria, functional GGA-PBE.

Structure (CIF):
```
data_Sr2TeW
_space_group_name_H-M_alt 'P 4/m m m'
_space_group_IT_number 123
_space_group_name_Hall '-P 4 2'
_cell_length_a 4.079
_cell_length_b 4.079
_cell_length_c 7.389
_cell_angle_alpha 90.00
_cell_angle_beta 90.00
_cell_angle_gamma 90.00
loop_
_atom_site_label
_atom_site_fract_x
_atom_site_fract_y
_atom_site_fract_z
Sr1 0.000 0.000 0.250
Te1 0.500 0.500 0.000
W1 0.500 0.500 0.500
```

Number 1: M_tot 0.000 μB per formula unit, formation energy from raw total energies -0.1227 eV/atom. Number 2: M_tot 5.304 μB per formula unit, formation energy from raw total energies 0.7558 eV/atom. Number 3: M_tot 0.771 μB per formula unit, formation energy from raw total energies 0.3346 eV/atom. Number 4: M_tot 0.438 μB per formula unit, formation energy from raw total energies -0.0599 eV/atom. Number 5: M_tot 0.000 μB per formula unit, formation energy from raw total energies 0.0770 eV/atom. Number 6: M_tot 3.074 μB per formula unit, formation energy from raw total energies 0.5420 eV/atom. Number 7: M_tot 0.000 μB per formula unit, formation energy from raw total energies 0.1464 eV/atom. Number 8: M_tot 3.391 μB per formula unit, formation energy from raw total energies 0.3365 eV/atom.